## A
First-principles (PBE) data for crystalline CeDyC at its relaxed geometry, as listed in Alexandria.

Cell: 4.3466 4.3466 4.3466 Å, 60.00 60.00 60.00°
Positions (direct):
C  0.2500  0.2500  0.2500
Ce  0.5000  0.5000  0.5000
Dy  0.0000  0.0000  0.0000

Total magnetic moment = 0.001 μB/atom

## B
First-principles (PBE) data for crystalline CeDyC at its relaxed geometry, as listed in Alexandria.

Cell: 6.3979 3.5445 3.5445 Å, 120.00 90.00 90.00°
Positions (direct):
C  0.3332  0.6667  0.3333
Ce  0.1162  0.0000  0.0000
Dy  0.5507  0.3333  0.6667

Total magnetic moment = 0.319 μB/atom

Stability, lowest: A